No. 1
Below is an optimized crystal structure of LiNbTc2N4, with properties calculated at the PBE level.

POSCAR file:
```
LiNbTc2N4
1.0
6.618 0.000 0.000
0.000 5.512 0.000
0.000 0.000 5.523
Li Nb Tc N
2 2 4 8
Direct
0.000 0.162 0.000
0.500 0.838 0.500
0.000 0.819 0.522
0.500 0.181 0.022
0.243 0.667 0.996
0.257 0.333 0.496
0.743 0.333 0.496
0.757 0.667 0.996
0.000 0.188 0.595
0.000 0.803 0.155
0.248 0.342 0.147
0.252 0.658 0.647
0.500 0.197 0.655
0.500 0.812 0.095
0.748 0.658 0.647
0.752 0.342 0.147
```

Properties
- Space group: Pmn2_1 (31)

No. 2
Below is an optimized crystal structure of LiNbTe2N, with properties calculated at the PBE level.

POSCAR file:
```
LiNbTe2N
1.0
5.102 0.000 0.000
0.000 5.102 0.000
0.000 0.000 3.529
Li Nb Te N
1 1 2 1
Direct
0.000 0.000 0.000
0.500 0.500 0.500
0.000 0.500 0.000
0.500 0.000 0.000
0.000 0.000 0.500
```

Properties
- Excess energy over the best structure of this formula in the dataset: 467.3 kJ/mol of formula units
- Space group: P4/mmm (123)

No. 3
Below is an optimized crystal structure of LiNbTe2N, with properties calculated at the PBE level.

POSCAR file:
```
LiNbTe2N
1.0
5.643 0.000 0.000
0.000 5.643 0.000
0.000 0.000 3.919
Li Nb Te N
1 1 2 1
Direct
0.000 0.000 0.000
0.500 0.500 0.500
0.000 0.500 0.500
0.500 0.000 0.500
0.500 0.500 0.000
```

Properties
- Excess energy over the best structure of this formula in the dataset: 0.0 kJ/mol of formula units
- Space group: P4/mmm (123)

No. 4
Below is an optimized crystal structure of LiThNbN3, with properties calculated at the PBE level.

POSCAR file:
```
LiThNbN3
1.0
6.716 0.000 0.000
0.000 3.300 0.000
-1.823 0.000 6.765
Li Th Nb N
2 2 2 6
Direct
0.084 0.250 0.090
0.916 0.750 0.910
0.198 0.250 0.725
0.802 0.750 0.275
0.330 0.750 0.320
0.670 0.250 0.680
0.112 0.250 0.367
0.217 0.750 0.028
0.440 0.750 0.657
0.560 0.250 0.343
0.783 0.250 0.972
0.888 0.750 0.633
```

Properties
- Space group: P2_1/m (11)

No. 5
Below is an optimized crystal structure of LiThNb2N4, with properties calculated at the PBE level.

POSCAR file:
```
LiThNb2N4
1.0
4.626 0.000 0.000
0.000 4.626 0.000
0.000 0.000 9.206
Li Th Nb N
2 2 4 8
Direct
0.000 0.000 0.000
0.500 0.500 0.500
0.000 0.000 0.500
0.500 0.500 0.000
0.000 0.500 0.250
0.000 0.500 0.750
0.500 0.000 0.250
0.500 0.000 0.750
0.000 0.000 0.237
0.000 0.000 0.763
0.000 0.500 0.000
0.000 0.500 0.500
0.500 0.000 0.000
0.500 0.000 0.500
0.500 0.500 0.263
0.500 0.500 0.737
```

Properties
- Space group: I4/mmm (139)

No. 6
Below is an optimized crystal structure of Li2ThNbN4, with properties calculated at the PBE level.

POSCAR file:
```
Li2ThNbN4
1.0
5.415 0.000 0.000
0.000 5.415 0.000
0.000 0.000 6.940
Li Th Nb N
4 2 2 8
Direct
0.000 0.500 0.250
0.000 0.500 0.750
0.500 0.000 0.250
0.500 0.000 0.750
0.000 0.000 0.000
0.500 0.500 0.500
0.000 0.000 0.500
0.500 0.500 0.000
0.216 0.216 0.653
0.216 0.784 0.347
0.284 0.284 0.153
0.284 0.716 0.847
0.716 0.284 0.847
0.716 0.716 0.153
0.784 0.216 0.347
0.784 0.784 0.653
```

Properties
- Space group: I-42m (121)

no.,energy (eV/atom),density of states at the Fermi level (states/eV per atom),total magnetization (Bohr magnetons per cell)
1,-8.49,0.556,0.000
2,-4.48,0.801,0.529
3,-5.45,0.676,0.000
4,-8.46,0.209,0.000
5,-8.70,0.481,0.001
6,-7.67,0.766,0.854